PBE InCl3, optimized geometry; final energy = -12.39 eV per formula unit; ΔE_f (raw) = -1028 meV per atom
1.0
2.574 -6.632 0.000
2.574 6.632 0.000
0.000 0.000 3.715
In Cl
1 3
direct
0.000 0.000 0.000
0.132 0.868 0.500
0.500 0.500 0.000
0.868 0.132 0.500

---

PBE In5Cl6, optimized geometry; final energy = -33.66 eV per formula unit; ΔE_f (raw) = -808 meV per atom
1.0
4.105 -6.128 0.000
4.105 6.128 0.000
-2.202 0.000 7.368
In Cl
5 6
direct
0.000 0.000 0.000
0.188 0.812 0.500
0.354 0.646 0.000
0.646 0.354 0.000
0.812 0.188 0.500
0.046 0.373 0.206
0.177 0.177 0.729
0.373 0.046 0.206
0.627 0.954 0.794
0.823 0.823 0.271
0.954 0.627 0.794

---

PBE InCl, optimized geometry; final energy = -5.52 eV per formula unit; ΔE_f (raw) = -467 meV per atom
1.0
5.637 0.000 0.000
-2.818 4.881 0.000
0.000 0.000 8.714
In Cl
4 4
direct
0.333 0.667 0.076
0.333 0.667 0.424
0.667 0.333 0.576
0.667 0.333 0.924
0.000 0.000 0.250
0.000 0.000 0.750
0.333 0.667 0.750
0.667 0.333 0.250